Compound: Nd4CF5
Source: OQMD
Functional: PBE
Structure: relaxed Values from VASP.

Crystal system: monoclinic
SG: C2/m, No. 12
Total magnetic moment in μB/cell: 0.03

```
&SYSTEM
  ibrav = 0, nat = 10, ntyp = 3
/
ATOMIC_SPECIES
C 12.01 C.upf
F 19.00 F.upf
Nd 144.24 Nd.upf
ATOMIC_POSITIONS crystal
C 0.5000 0.5000 0.0000
F 0.8208 0.8208 0.0816
F 0.1736 0.1736 0.4438
F 0.5000 0.5000 0.5000
F 0.8264 0.8264 0.5562
F 0.1792 0.1792 0.9184
Nd 0.6832 0.6832 0.1880
Nd 0.9960 0.9960 0.2393
Nd 0.0040 0.0040 0.7607
Nd 0.3168 0.3168 0.8120
CELL_PARAMETERS angstrom
-0.9940 -1.4127 7.5968
-2.1817 -4.4038 6.0450
6.4683 -1.3065 -2.4323
```

---

Compound: LuCd2
Source: OQMD
Functional: PBE
Structure: relaxed Values from VASP.

Crystal system: hexagonal
SG: P6/mmm, No. 191
Total magnetic moment in μB/cell: 0.01
Energy of formation from the pure elements in eV/f.u.: -0.83

```
&SYSTEM
  ibrav = 0, nat = 3, ntyp = 2
/
ATOMIC_SPECIES
Cd 112.41 Cd.upf
Lu 174.97 Lu.upf
ATOMIC_POSITIONS crystal
Cd 0.6667 0.3333 0.5000
Cd 0.3333 0.6667 0.5000
Lu 0.0000 0.0000 0.0000
CELL_PARAMETERS angstrom
4.8980 0.0000 0.0000
-2.4490 4.2418 0.0000
0.0000 0.0000 3.3495
```

---

Compound: BaLaAg2
Source: OQMD
Functional: PBE
Structure: relaxed Values from VASP.

Crystal system: orthorhombic
SG: Pmc2_1, No. 26
Total magnetic moment in μB/cell: 0.02

```
&SYSTEM
  ibrav = 0, nat = 8, ntyp = 3
/
ATOMIC_SPECIES
Ag 107.87 Ag.upf
Ba 137.33 Ba.upf
La 138.91 La.upf
ATOMIC_POSITIONS crystal
Ag 0.0000 0.1025 0.0382
Ag 0.5000 0.6329 0.4658
Ag 0.0000 0.8975 0.5382
Ag 0.5000 0.3671 0.9658
Ba 0.0000 0.6093 0.1808
Ba 0.0000 0.3907 0.6808
La 0.5000 0.1066 0.3152
La 0.5000 0.8934 0.8152
CELL_PARAMETERS angstrom
5.0444 0.0000 0.0000
0.0000 6.2592 0.0000
0.0000 0.0000 7.9090
```

---

Compound: NdErTc
Source: OQMD
Functional: PBE
Structure: relaxed Values from VASP.

Crystal system: cubic
SG: F-43m, No. 216
Total magnetic moment in μB/cell: 0.54
Energy of formation from the pure elements in eV/f.u.: 3.03

```
&SYSTEM
  ibrav = 0, nat = 3, ntyp = 3
/
ATOMIC_SPECIES
Er 167.26 Er.upf
Nd 144.24 Nd.upf
Tc 98.00 Tc.upf
ATOMIC_POSITIONS crystal
Er 0.2500 0.2500 0.2500
Nd 0.0000 0.0000 0.0000
Tc 0.7500 0.7500 0.7500
CELL_PARAMETERS angstrom
0.2735 -0.0695 4.7875
-1.6420 3.7151 2.5498
-3.9876 -0.4673 2.6231
```

---

Compound: ZnCuAsPd
Source: OQMD
Functional: PBE
Structure: relaxed Values from VASP.

Crystal system: cubic
SG: F-43m, No. 216

```
&SYSTEM
  ibrav = 0, nat = 4, ntyp = 4
/
ATOMIC_SPECIES
As 74.92 As.upf
Cu 63.55 Cu.upf
Pd 106.42 Pd.upf
Zn 65.41 Zn.upf
ATOMIC_POSITIONS crystal
As 0.0000 0.0000 0.0000
Cu 0.7500 0.7500 0.7500
Pd 0.2500 0.2500 0.2500
Zn 0.5000 0.5000 0.5000
CELL_PARAMETERS angstrom
0.0000 3.1003 3.1003
3.1003 0.0000 3.1003
3.1003 3.1003 0.0000
```

---

Compound: Ho3LuC2Se2
Source: OQMD
Functional: PBE
Structure: relaxed Values from VASP.

Crystal system: trigonal
SG: P3m1, No. 156
Total magnetic moment in μB/cell: 0.00

```
&SYSTEM
  ibrav = 0, nat = 8, ntyp = 4
/
ATOMIC_SPECIES
C 12.01 C.upf
Ho 164.93 Ho.upf
Lu 174.97 Lu.upf
Se 78.96 Se.upf
ATOMIC_POSITIONS crystal
C 0.0000 0.0000 0.0026
C 0.0000 0.0000 0.4995
Ho 0.3333 0.6667 0.3989
Ho 0.6667 0.3333 0.6002
Ho 0.6667 0.3333 0.9023
Lu 0.3333 0.6667 0.0996
Se 0.6667 0.3333 0.2461
Se 0.3333 0.6667 0.7508
CELL_PARAMETERS angstrom
-2.6090 -2.3833 1.1693
2.8482 -1.2225 -2.0609
6.9444 -2.2411 10.9263
```

---

Per-record E, eV per atom: -6.39 -2.38 -3.33 -5.55 -3.80 -6.63